(1)
Computed, not measured: Ac6Sm3Y2 after structural relaxation at the PBE level of DFT.

Total DFT energy (no corrections), eV/cell: -51.21

Cell: 6.6053 8.5299 8.5525 Å, 107.15 97.48 104.94°
Space group P-1 (No. 2)
Inequivalent atoms, fractional coordinates:
Ac: 0.0533 0.1811 0.4052 [2 per cell]
Ac: 0.1364 0.5487 0.2335 [2 per cell]
Ac: 0.3226 0.2672 0.8689 [2 per cell]
Sm: 0.4078 0.6434 0.6844 [2 per cell]
Sm: 0.5000 0.0000 0.5000 [1 per cell]
Y: 0.2327 0.9138 0.0473 [2 per cell]


(2)
Computed, not measured: AcSm2Y4 after structural relaxation at the PBE level of DFT.

Total DFT energy (no corrections), eV/cell: -77.67
E above lowest polymorph, eV per atom: 0.000

Cell: 6.9682 8.8529 8.9982 Å, 63.24 78.96 82.02°
Space group P1 (No. 1)
Inequivalent atoms, fractional coordinates:
Ac: 0.0000 0.0000 0.0000 [1 per cell]
Ac: 0.2199 0.0558 0.3535 [1 per cell]
Sm: 0.0947 0.6369 0.5269 [1 per cell]
Sm: 0.3192 0.7847 0.7674 [1 per cell]
Sm: 0.5088 0.9678 0.0138 [1 per cell]
Sm: 0.7032 0.1810 0.2755 [1 per cell]
Y: 0.1811 0.3735 0.9455 [1 per cell]
Y: 0.3344 0.5419 0.1988 [1 per cell]
Y: 0.4190 0.2564 0.6182 [1 per cell]
Y: 0.6144 0.7007 0.4277 [1 per cell]
Y: 0.6854 0.4290 0.8464 [1 per cell]
Y: 0.8010 0.8897 0.6839 [1 per cell]
Y: 0.8412 0.5955 0.0983 [1 per cell]
Y: 0.9281 0.3118 0.5224 [1 per cell]


(3)
Computed, not measured: Ac5SmY2 after structural relaxation at the PBE level of DFT.

Total DFT energy (no corrections), eV/cell: -148.80

Cell: 17.3374 10.6390 7.1946 Å, 90.00 102.39 90.00°
Space group C2/c (No. 15)
Inequivalent atoms, fractional coordinates:
Ac: 0.0000 0.0643 0.2500 [4 per cell]
Ac: 0.0940 0.4027 0.1488 [8 per cell]
Ac: 0.2066 0.0834 0.0434 [8 per cell]
Sm: 0.2500 0.2500 0.5000 [4 per cell]
Y: 0.0848 0.2554 0.6587 [8 per cell]


(4)
Computed, not measured: Ac6SmY3 after structural relaxation at the PBE level of DFT.

Total DFT energy (no corrections), eV/cell: -95.79

Cell: 12.7273 3.8039 17.0669 Å, 90.00 103.83 90.00°
Space group P2_1/m (No. 11)
Inequivalent atoms, fractional coordinates:
Ac: 0.1081 0.2500 0.3552 [2 per cell]
Ac: 0.1114 0.7500 0.9590 [2 per cell]
Ac: 0.1598 0.2500 0.7660 [2 per cell]
Ac: 0.3452 0.2500 0.1104 [2 per cell]
Ac: 0.3656 0.7500 0.3161 [2 per cell]
Ac: 0.3703 0.2500 0.5214 [2 per cell]
Sm: 0.1254 0.7500 0.5556 [2 per cell]
Y: 0.1128 0.7500 0.1702 [2 per cell]
Y: 0.3850 0.7500 0.9260 [2 per cell]
Y: 0.3891 0.7500 0.7117 [2 per cell]


(5)
Computed, not measured: AcSm3Y4 after structural relaxation at the PBE level of DFT.

Total DFT energy (no corrections), eV/cell: -87.72
E above lowest polymorph, eV per atom: 0.000

Cell: 11.6742 7.4184 6.3944 Å, 90.00 90.00 90.00°
Space group Pmn2_1 (No. 31)
Inequivalent atoms, fractional coordinates:
Ac: 0.0000 0.1251 0.0000 [2 per cell]
Sm: 0.0000 0.8697 0.4947 [2 per cell]
Sm: 0.2484 0.1284 0.6606 [4 per cell]
Y: 0.0000 0.3810 0.4963 [2 per cell]
Y: 0.0000 0.6233 0.9952 [2 per cell]
Y: 0.2473 0.6214 0.6604 [4 per cell]


(6)
Computed, not measured: AcSm6Y3 after structural relaxation at the PBE level of DFT.

Total DFT energy (no corrections), eV/cell: -201.94

Cell: 9.7587 15.5893 9.1583 Å, 90.00 90.00 90.00°
Space group Cmc2_1 (No. 36)
Inequivalent atoms, fractional coordinates:
Ac: 0.0000 0.2209 0.0000 [4 per cell]
Sm: 0.0000 0.0480 0.2436 [4 per cell]
Sm: 0.0000 0.2823 0.3725 [4 per cell]
Sm: 0.1763 0.3547 0.7502 [8 per cell]
Sm: 0.2431 0.4394 0.4192 [8 per cell]
Y: 0.0000 0.4498 0.1091 [4 per cell]
Y: 0.1743 0.1422 0.5894 [8 per cell]